5
Lattice="4.847 0.000 0.000 0.000 5.470 0.000 0.000 0.000 4.847" Properties=species:S:1:pos:R:3 comment="PBE-GGA HfScCu2H, relaxed" total_energy_ev_per_atom=-4.000 pbc="T T T"
Hf 0.000 0.000 0.000
Cu 0.000 0.000 2.423
Cu 2.423 0.000 0.000
H 2.423 2.735 2.423
Sc 0.000 2.735 0.000


4
Lattice="4.633 0.000 0.000 2.317 4.013 0.000 2.317 1.338 3.783" Properties=species:S:1:pos:R:3 comment="PBE-GGA PuHfFeTc, relaxed" ef_ev_per_atom=-0.121 pbc="T T T"
Fe 4.633 2.675 1.892
Tc 0.000 0.000 0.000
Hf 2.317 1.338 0.946
Pu 6.950 4.013 2.837


Which formula does entry 2 have?
PuHfFeTc